Material: TaVTcMo
Method: DFT, GGA-PBE
State: relaxed

* magnetization: 0.000 μB/cell
* total energy: -173.01 eV/cell
* volume: 15.4 A^3/atom
* ΔH_f (0 K): -105 kJ/mol of formula units
* energy relative to the lowest polymorph listed for this composition: 3 meV per atom

a b c (Å): 6.270 6.270 6.270
angles (deg): 90.00 90.00 90.00
Space group F-43m (No. 216)
Symmetry-distinct sites (fractional):
Ta1 0.000 0.000 0.000 (multiplicity 4)
V1 0.000 0.000 0.500 (multiplicity 4)
Tc1 0.250 0.250 0.750 (multiplicity 4)
Mo1 0.250 0.250 0.250 (multiplicity 4)

=====

Material: Cs2Pa2O7
Method: DFT, GGA-PBE
State: relaxed

* magnetization: 0.000 μB/cell
* total energy: -165.61 eV/cell
* uncorrected formation energy: -2491 meV per atom
* volume: 25.8 A^3/atom

a b c (Å): 7.377 14.154 5.718
angles (deg): 90.00 108.26 90.00
Space group C2/m (No. 12)
Symmetry-distinct sites (fractional):
Cs1 0.000 0.194 0.000 (multiplicity 4)
Pa1 0.248 0.500 0.364 (multiplicity 4)
O1 0.000 0.500 0.500 (multiplicity 2)
O2 0.034 0.000 0.289 (multiplicity 4)
O3 0.222 0.366 0.289 (multiplicity 8)

=====

Material: SrNbSO2
Method: DFT, GGA-PBE
State: relaxed

* magnetization: 0.003 μB/cell
* total energy: -37.13 eV/cell
* uncorrected formation energy: -2267 meV per atom
* volume: 17.2 A^3/atom

a b c (Å): 4.099 4.099 5.106
angles (deg): 90.00 90.00 90.00
Space group P4mm (No. 99)
Symmetry-distinct sites (fractional):
Sr1 0.000 0.000 0.000 (multiplicity 1)
Nb1 0.500 0.500 0.356 (multiplicity 1)
S1 0.500 0.500 0.841 (multiplicity 1)
O1 0.000 0.500 0.334 (multiplicity 2)